## Sm2AgMoO6 (PBE with a Hubbard U)

Data for a geometry-optimized Sm2AgMoO6 structure.

a = 5.3397 Å, b = 5.3397 Å, c = 5.4619 Å
α = 90.00°, β = 90.00°, γ = 90.00°
Closest atoms and distances in Å follow each position.
Fractional coordinates of all 10 atoms:
1 Sm 0.0000 0.5000 0.0000  4 O 2.30
2 Sm 0.5000 0.0000 0.0000  4 O 2.30
3 Ag 0.0000 0.0000 0.5048  1 O 2.10
4 Mo 0.5000 0.5000 0.6029  5 O 1.87-1.96
5 O 0.0000 0.0000 0.1195  1 Ag 2.10
6 O 0.2668 0.2668 0.7601  1 Mo 1.96
7 O 0.2668 0.7332 0.7601  1 Mo 1.96
8 O 0.5000 0.5000 0.2598  1 Mo 1.87
9 O 0.7332 0.2668 0.7601  1 Mo 1.96
10 O 0.7332 0.7332 0.7601  1 Mo 1.96

## Properties
final energy: -7.036 eV per atom